[1]
Pu2Ga5Cu2Rh, optimized geometry, DFT PBE-GGA; M_tot = 1.11 μB/atom; space group = No. 127; formation energy from the elements = -264 kJ/mol of formula units; DOS(E_F) = 1.656 states/eV/atom
1.0
10.836 0.000 0.000
0.000 10.836 0.000
0.000 0.000 2.939
Pu Ga Cu Rh
4 10 4 2
Direct
0.174 0.326 0.000
0.326 0.826 0.000
0.674 0.174 0.000
0.826 0.674 0.000
0.000 0.500 0.500
0.056 0.809 0.500
0.191 0.056 0.500
0.309 0.556 0.500
0.444 0.309 0.500
0.500 0.000 0.500
0.556 0.691 0.500
0.691 0.444 0.500
0.809 0.944 0.500
0.944 0.191 0.500
0.133 0.633 0.000
0.367 0.133 0.000
0.633 0.867 0.000
0.867 0.367 0.000
0.000 0.000 0.000
0.500 0.500 0.000

***

[2]
PuGa4Cu2Rh, optimized geometry, DFT PBE-GGA; M_tot = 0.68 μB/atom; space group = No. 166; formation energy from the elements = -217 kJ/mol of formula units; DOS(E_F) = 1.512 states/eV/atom
1.0
2.101 1.213 8.800
-2.101 1.213 8.800
0.000 -2.427 8.800
Pu Ga Cu Rh
1 4 2 1
Direct
0.000 0.000 0.000
0.129 0.129 0.129
0.400 0.400 0.400
0.600 0.600 0.600
0.871 0.871 0.871
0.237 0.237 0.237
0.763 0.763 0.763
0.500 0.500 0.500

***

[3]
PuGa3CuRh, optimized geometry, DFT PBE-GGA; M_tot = 0.94 μB/atom; space group = No. 63; formation energy from the elements = -98 kJ/mol of formula units; DOS(E_F) = 2.326 states/eV/atom
1.0
3.881 -5.455 0.000
3.881 5.455 0.000
0.000 0.000 5.593
Pu Ga Cu Rh
2 6 2 2
Direct
0.201 0.799 0.750
0.799 0.201 0.250
0.245 0.245 0.000
0.245 0.245 0.500
0.316 0.684 0.250
0.684 0.316 0.750
0.755 0.755 0.000
0.755 0.755 0.500
0.462 0.538 0.750
0.538 0.462 0.250
0.088 0.912 0.250
0.912 0.088 0.750

***

[4]
Pu2GaCuS5, optimized geometry, DFT PBE-GGA; M_tot = 1.11 μB/atom; ΔE_f (raw) = -1.10 eV per atom; space group = No. 36; DOS(E_F) = 1.782 states/eV/atom
1.0
1.907 -8.439 0.000
1.907 8.439 0.000
0.000 0.000 11.260
Pu Ga Cu S
4 2 2 10
Direct
0.118 0.882 0.500
0.129 0.871 0.124
0.871 0.129 0.624
0.882 0.118 0.000
0.426 0.574 0.277
0.574 0.426 0.777
0.244 0.756 0.898
0.756 0.244 0.398
0.043 0.957 0.887
0.293 0.707 0.487
0.315 0.685 0.164
0.363 0.637 0.816
0.500 0.500 0.103
0.500 0.500 0.603
0.637 0.363 0.316
0.685 0.315 0.664
0.707 0.293 0.987
0.957 0.043 0.387